GaTeH2 GGA-PBE optimized geometry; symmetry = Fm-3m, No. 225; VASP energy = -2.59 eV per atom; size of the total moment = 0.00 μB/cell
1.0
-1.4485 -3.8229 -1.0427
-1.4591 -2.5914 2.9925
-4.1296 -0.8295 0.2422
H Te Ga
2 1 1
Direct
0.2500 0.2500 0.2500
0.7500 0.7500 0.7500
0.5000 0.5000 0.5000
0.0000 0.0000 0.0000